Entry 1:
# ZrTcPd2

A relaxed ZrTcPd2 crystal (PBE, Alexandria via LeMat-Bulk).

Lattice parameters (Å, degrees): 3.8792 3.8792 9.8467 78.64 78.64 90.00
Closest atoms and distances in Å follow each position.
Fractional coordinates of all 8 atoms:
Zr 0.2500 0.7500 0.5000  4 Tc 2.74, 4 Pd 2.74
Tc 0.0000 0.0000 0.0000  4 Pd 2.72, 4 Zr 2.74
Pd 0.1168 0.6250 0.2500  4 Pd 2.70-2.79, 2 Tc 2.72, 2 Zr 2.74
Tc 0.7500 0.2500 0.5000  4 Pd 2.72, 4 Zr 2.74
Pd 0.3750 0.3668 0.7500  4 Pd 2.70-2.79, 2 Tc 2.72, 2 Zr 2.74
Pd 0.8750 0.8832 0.7500  4 Pd 2.70-2.79, 2 Tc 2.72, 2 Zr 2.74
Zr 0.5000 0.5000 0.0000  4 Tc 2.74, 4 Pd 2.74
Pd 0.6332 0.1250 0.2500  4 Pd 2.70-2.79, 2 Tc 2.72, 2 Zr 2.74

Computed properties:
E = -7.250 eV per atom
DFT formation energy = 75 meV per atom
theoretical density = 9.4 g/cm3
distance to the lowest polymorph of the same formula = 0.635 eV/f.u.

***

Entry 2:
# ZrTcPd2

A relaxed ZrTcPd2 crystal (PBE, Alexandria via LeMat-Bulk).

Lattice parameters (Å, degrees): 4.5888 4.5888 4.5888 60.00 60.00 60.00
Closest atoms and distances in Å follow each position.
Fractional coordinates of all 4 atoms:
Zr 0.0000 0.0000 0.0000  8 Pd 2.81
Pd 0.2500 0.2500 0.2500  4 Zr 2.81, 4 Tc 2.81
Tc 0.5000 0.5000 0.5000  8 Pd 2.81
Pd 0.7500 0.7500 0.7500  4 Tc 2.81, 4 Zr 2.81

Computed properties:
E = -7.409 eV per atom
DFT formation energy = -84 meV per atom
theoretical density = 9.8 g/cm3
distance to the lowest polymorph of the same formula = 0.000 eV/f.u.

***

Entry 3:
# Te3Pd

A relaxed Te3Pd crystal (PBE, Alexandria via LeMat-Bulk).

Lattice parameters (Å, degrees): 3.8571 5.1102 6.6053 112.76 106.98 90.00
Closest atoms and distances in Å follow each position.
Fractional coordinates of all 4 atoms:
Pd 0.0000 0.9885 0.0000  6 Te 2.73-2.82
Te 0.6619 0.0549 0.3238  2 Pd 2.73
Te 0.3381 0.7311 0.6762  2 Pd 2.73
Te 0.5000 0.3922 0.0000  2 Pd 2.82

Computed properties:
E = -3.710 eV per atom
uncorrected formation energy = -0.056 eV per atom
theoretical density = 7.1 g/cm3

***

Entry 4:
# TePd4

A relaxed TePd4 crystal (PBE, Alexandria via LeMat-Bulk).

Lattice parameters (Å, degrees): 8.8370 8.8370 8.8370 60.00 60.00 60.00
Closest atoms and distances in Å follow each position.
Fractional coordinates of all 25 atoms:
Pd 0.7387 0.7387 0.2613  2 Te 2.65, 4 Pd 2.67-2.70
Pd 0.5097 0.5097 0.9903  2 Te 2.62, 2 Pd 2.73
Pd 0.3664 0.9009 0.3664  1 Te 2.52, 6 Pd 2.70-2.73
Te 0.6278 0.6278 0.1165  6 Pd 2.62-2.65
Te 0.6278 0.1165 0.6278  6 Pd 2.62-2.65
Pd 0.5097 0.9903 0.5097  2 Te 2.62, 2 Pd 2.73
Pd 0.9195 0.9195 0.9195  6 Pd 2.67-2.85
Pd 0.9195 0.2416 0.9195  6 Pd 2.67-2.85
Pd 0.7387 0.2613 0.2613  2 Te 2.65, 4 Pd 2.67-2.70
Pd 0.9009 0.3664 0.3664  1 Te 2.52, 6 Pd 2.70-2.73
Pd 0.9903 0.9903 0.5097  2 Te 2.62, 2 Pd 2.73
Pd 0.5097 0.9903 0.9903  2 Te 2.62, 2 Pd 2.73
Pd 0.3664 0.3664 0.9009  1 Te 2.52, 6 Pd 2.70-2.73
Te 0.6278 0.6278 0.6278  6 Pd 2.62-2.65
Te 0.1165 0.6278 0.6278  6 Pd 2.62-2.65
Pd 0.9903 0.5097 0.9903  2 Te 2.62, 2 Pd 2.73
Te 0.2500 0.2500 0.2500  4 Pd 2.52
Pd 0.2613 0.7387 0.2613  2 Te 2.65, 4 Pd 2.67-2.70
Pd 0.2613 0.7387 0.7387  2 Te 2.65, 4 Pd 2.67-2.70
Pd 0.3664 0.3664 0.3664  1 Te 2.52, 6 Pd 2.70-2.73
Pd 0.2613 0.2613 0.7387  2 Te 2.65, 4 Pd 2.67-2.70
Pd 0.7387 0.2613 0.7387  2 Te 2.65, 4 Pd 2.67-2.70
Pd 0.9903 0.5097 0.5097  2 Te 2.62, 2 Pd 2.73
Pd 0.2416 0.9195 0.9195  6 Pd 2.67-2.85
Pd 0.9195 0.9195 0.2416  6 Pd 2.67-2.85

Computed properties:
E = -4.785 eV per atom
uncorrected formation energy = -0.002 eV per atom
theoretical density = 9.4 g/cm3

***

Entry 5:
# Te7Pd5

A relaxed Te7Pd5 crystal (PBE, Alexandria via LeMat-Bulk).

Lattice parameters (Å, degrees): 4.0555 7.0849 11.5497 110.62 90.00 106.63
Closest atoms and distances in Å follow each position.
Fractional coordinates of all 12 atoms:
Pd 0.0000 0.0000 0.0000  6 Te 2.68-2.93
Te 0.7125 0.4250 0.3629  3 Pd 2.71-2.73
Te 0.0488 0.0976 0.7957  4 Pd 2.67-2.68
Te 0.3331 0.6663 0.9175  5 Pd 2.76-2.93, 1 Te 3.07
Pd 0.3146 0.6291 0.1584  5 Te 2.67-2.88
Pd 0.6854 0.3709 0.8416  5 Te 2.67-2.88
Pd 0.8902 0.7804 0.5742  6 Te 2.67-2.83
Te 0.6669 0.3337 0.0825  5 Pd 2.76-2.93, 1 Te 3.07
Te 0.9512 0.9024 0.2043  4 Pd 2.67-2.68
Te 0.5000 0.0000 0.5000  4 Pd 2.83
Te 0.2875 0.5750 0.6371  3 Pd 2.71-2.73
Pd 0.1098 0.2196 0.4258  6 Te 2.67-2.83

Computed properties:
E = -4.245 eV per atom
uncorrected formation energy = -0.249 eV per atom
theoretical density = 8.0 g/cm3

***

Entry 6:
# TePd2

A relaxed TePd2 crystal (PBE, Alexandria via LeMat-Bulk).

Lattice parameters (Å, degrees): 4.4286 4.4324 4.4324 59.99 60.03 60.03
Closest atoms and distances in Å follow each position.
Fractional coordinates of all 3 atoms:
Te 0.0000 0.0000 0.0000  8 Pd 2.71
Pd 0.2499 0.2501 0.2501  4 Te 2.71
Pd 0.7501 0.7499 0.7499  4 Te 2.71

Computed properties:
E = -4.740 eV per atom
uncorrected formation energy = -0.231 eV per atom
theoretical density = 9.2 g/cm3

***

Entry 7:
# Te4Pd

A relaxed Te4Pd crystal (PBE, Alexandria via LeMat-Bulk).

Lattice parameters (Å, degrees): 5.4860 7.1644 7.4097 89.86 90.00 90.00
Closest atoms and distances in Å follow each position.
Fractional coordinates of all 10 atoms:
Te 0.2550 0.2024 0.2473  2 Pd 2.72-2.73, 1 Te 3.01
Te 0.2450 0.2024 0.7473  2 Pd 2.72-2.73, 1 Te 3.01
Te 0.1772 0.7090 0.4985  1 Pd 2.74, 1 Te 3.01
Te 0.7450 0.7976 0.7527  2 Pd 2.72-2.73, 1 Te 3.01
Pd 0.5000 0.0000 0.5000  6 Te 2.72-2.74
Te 0.6772 0.2910 0.0015  1 Pd 2.74, 1 Te 3.01
Te 0.7550 0.7976 0.2527  2 Pd 2.72-2.73, 1 Te 3.01
Te 0.3228 0.7090 0.9985  1 Pd 2.74, 1 Te 3.01
Te 0.8228 0.2910 0.5015  1 Pd 2.74, 1 Te 3.01
Pd 0.0000 0.0000 0.0000  6 Te 2.72-2.74

Computed properties:
E = -3.685 eV per atom
uncorrected formation energy = -0.133 eV per atom
theoretical density = 7.0 g/cm3
distance to the lowest polymorph of the same formula = 0.000 eV/f.u.

***

Entry 8:
# Te4Pd3

A relaxed Te4Pd3 crystal (PBE, Alexandria via LeMat-Bulk).

Lattice parameters (Å, degrees): 8.0060 8.0060 8.0060 59.98 59.98 59.98
Closest atoms and distances in Å follow each position.
Fractional coordinates of all 14 atoms:
Te 0.2797 0.7401 0.7401  4 Pd 2.65-2.72
Te 0.2599 0.2599 0.7203  4 Pd 2.65-2.72
Te 0.7203 0.2599 0.2599  4 Pd 2.65-2.72
Pd 0.1251 0.1251 0.1251  4 Te 2.65
Te 0.7400 0.7400 0.7400  4 Pd 2.65-2.72
Te 0.2599 0.7203 0.2599  4 Pd 2.65-2.72
Te 0.7401 0.2797 0.7401  4 Pd 2.65-2.72
Te 0.2600 0.2600 0.2600  4 Pd 2.65-2.72
Pd 0.0000 0.5000 0.5000  6 Te 2.72
Pd 0.5000 0.5000 0.0000  6 Te 2.72
Pd 0.5000 0.0000 0.5000  6 Te 2.72
Te 0.7401 0.7401 0.2797  4 Pd 2.65-2.72
Pd 0.5000 0.5000 0.5000  6 Te 2.72
Pd 0.8749 0.8749 0.8749  4 Te 2.65

Computed properties:
E = -4.347 eV per atom
uncorrected formation energy = -0.327 eV per atom
theoretical density = 7.6 g/cm3

***

Entry 9:
# Te3Pd

A relaxed Te3Pd crystal (PBE, Alexandria via LeMat-Bulk).

Lattice parameters (Å, degrees): 4.2408 4.2145 6.0421 90.00 90.00 90.00
Closest atoms and distances in Å follow each position.
Fractional coordinates of all 4 atoms:
Te 0.5000 0.3337 0.5000  6 Te 2.99-3.02
Te 0.0000 0.8337 0.5000  4 Te 2.99, 2 Pd 3.02
Te 0.5000 0.3328 0.0000  4 Pd 2.99, 2 Te 3.02
Pd 0.0000 0.8330 0.0000  6 Te 2.99-3.02

Computed properties:
E = -3.647 eV per atom
uncorrected formation energy = 0.007 eV per atom
theoretical density = 7.5 g/cm3

***

Entry 10:
# Te3Pd13

A relaxed Te3Pd13 crystal (PBE, Alexandria via LeMat-Bulk).

Lattice parameters (Å, degrees): 9.1151 9.1151 9.1151 60.00 60.00 60.00
Closest atoms and distances in Å follow each position.
Fractional coordinates of all 32 atoms:
Pd 0.3852 0.3852 0.8444  1 Te 2.56, 6 Pd 2.80-2.83
Pd 0.7623 0.2377 0.2377  2 Te 2.70, 6 Pd 2.80-2.89
Pd 0.0123 0.4877 0.4877  2 Te 2.70, 6 Pd 2.80-2.89
Pd 0.2377 0.7623 0.2377  2 Te 2.70, 6 Pd 2.80-2.89
Te 0.1250 0.1250 0.1250  8 Pd 2.70-2.79
Pd 0.2500 0.2500 0.2500  4 Te 2.79, 10 Pd 3.02-3.06
Te 0.7500 0.7500 0.7500  8 Pd 2.56-2.79
Pd 0.8444 0.3852 0.3852  1 Te 2.56, 6 Pd 2.80-2.83
Pd 0.7623 0.7623 0.2377  2 Te 2.70, 6 Pd 2.80-2.89
Pd 0.0123 0.4877 0.0123  2 Te 2.70, 6 Pd 2.80-2.89
Pd 0.2377 0.7623 0.7623  2 Te 2.70, 6 Pd 2.80-2.89
Pd 0.8648 0.8648 0.8648  1 Te 2.56, 6 Pd 2.80-2.83
Pd 0.4056 0.8648 0.8648  1 Te 2.56, 6 Pd 2.80-2.83
Pd 0.3852 0.3852 0.3852  1 Te 2.56, 6 Pd 2.80-2.83
Pd 0.7623 0.2377 0.7623  2 Te 2.70, 6 Pd 2.80-2.89
Pd 0.6250 0.1250 0.6250  2 Te 2.79, 12 Pd 2.89-3.10
Pd 0.8648 0.4056 0.8648  1 Te 2.56, 6 Pd 2.80-2.83
Pd 0.1250 0.6250 0.6250  2 Te 2.79, 12 Pd 2.89-3.10
Pd 0.6250 0.6250 0.6250  2 Te 2.79, 12 Pd 2.89-3.10
Pd 0.0123 0.0123 0.4877  2 Te 2.70, 6 Pd 2.80-2.89
Te 0.5000 0.5000 0.5000  8 Pd 2.56-2.79
Pd 0.0000 0.0000 0.0000  4 Te 2.79, 10 Pd 3.02-3.06
Pd 0.4877 0.0123 0.4877  2 Te 2.70, 6 Pd 2.80-2.89
Pd 0.6250 0.6250 0.1250  2 Te 2.79, 12 Pd 2.89-3.10
Pd 0.4877 0.0123 0.0123  2 Te 2.70, 6 Pd 2.80-2.89
Pd 0.4877 0.4877 0.0123  2 Te 2.70, 6 Pd 2.80-2.89
Pd 0.8648 0.8648 0.4056  1 Te 2.56, 6 Pd 2.80-2.83
Te 0.1250 0.1250 0.6250  8 Pd 2.70-2.79
Te 0.6250 0.1250 0.1250  8 Pd 2.70-2.79
Pd 0.3852 0.8444 0.3852  1 Te 2.56, 6 Pd 2.80-2.83
Pd 0.2377 0.2377 0.7623  2 Te 2.70, 6 Pd 2.80-2.89
Te 0.1250 0.6250 0.1250  8 Pd 2.70-2.79

Computed properties:
E = -5.022 eV per atom
uncorrected formation energy = -0.214 eV per atom
theoretical density = 11.0 g/cm3

***

Entry 11:
# TePd4

A relaxed TePd4 crystal (PBE, Alexandria via LeMat-Bulk).

Lattice parameters (Å, degrees): 3.0269 6.9623 8.6380 108.23 90.00 90.00
Closest atoms and distances in Å follow each position.
Fractional coordinates of all 10 atoms:
Pd 0.2513 0.6107 0.9030  1 Te 2.68, 5 Pd 2.71-2.93
Te 0.0000 0.0000 0.0000  6 Pd 2.65-2.68
Pd 0.2590 0.2009 0.2996  2 Te 2.65, 5 Pd 2.71-2.93
Pd 0.2487 0.6107 0.4030  1 Te 2.68, 5 Pd 2.71-2.93
Te 0.5000 0.0000 0.5000  6 Pd 2.65-2.68
Pd 0.2410 0.2009 0.7996  2 Te 2.65, 5 Pd 2.71-2.93
Pd 0.7590 0.7991 0.2004  2 Te 2.65, 5 Pd 2.71-2.93
Pd 0.7410 0.7991 0.7004  2 Te 2.65, 5 Pd 2.71-2.93
Pd 0.7513 0.3893 0.5970  1 Te 2.68, 5 Pd 2.71-2.93
Pd 0.7487 0.3893 0.0970  1 Te 2.68, 5 Pd 2.71-2.93

Computed properties:
E = -4.856 eV per atom
uncorrected formation energy = -0.074 eV per atom
theoretical density = 10.6 g/cm3